Computed, not measured: a geometry-optimized Mn2VO5 structure at the PBE+U level of DFT.

Calculated values
Magnetization in μB per cell: 36.00
Electronic total energy in eV per atom: -7.66

Structure (CIF):
```
data_Mn2VO5
_chemical_formula_sum 'Mn8 V4 O20'
_cell_length_a 7.900
_cell_length_b 8.365
_cell_length_c 7.335
_cell_angle_alpha 90.00
_cell_angle_beta 120.56
_cell_angle_gamma 90.00
_space_group_name_H-M_alt 'C 1 2/c 1'
_space_group_IT_number 15
_space_group_name_Hall '-C 2yc'
loop_
_atom_site_label
_atom_site_fract_x
_atom_site_fract_y
_atom_site_fract_z
Mn1 0.000 0.000 0.000
Mn2 0.250 0.250 0.000
V1 0.000 0.383 0.250
O1 0.000 0.099 0.750
O2 0.027 0.258 0.079
O3 0.207 0.491 0.873
```